[1]
Pm3FeO6: relaxed, PBE+U.

Summary:
D(E_F)	0.00	states/eV per cell
crystal system	orthorhombic
total moment	0.50	μB/atom
total DFT energy (no corrections)	-7.922	eV per atom

Lattice parameters (Å, degrees): 7.372 7.372 5.626 90.00 90.00 102.83
Sites, in units of the cell vectors:
1 Pm 0.103 0.897 0.500
2 Pm 0.201 0.413 0.456
3 Pm 0.413 0.201 0.956
4 Pm 0.587 0.799 0.456
5 Pm 0.799 0.587 0.956
6 Pm 0.897 0.103 0.000
7 Fe 0.308 0.692 0.924
8 Fe 0.692 0.308 0.424
9 O 0.082 0.606 0.750
10 O 0.146 0.174 0.726
11 O 0.174 0.146 0.226
12 O 0.285 0.715 0.260
13 O 0.394 0.918 0.750
14 O 0.460 0.540 0.781
15 O 0.540 0.460 0.281
16 O 0.606 0.082 0.250
17 O 0.715 0.285 0.760
18 O 0.826 0.854 0.726
19 O 0.854 0.826 0.226
20 O 0.918 0.394 0.250

***

[2]
Pm3FeO7: relaxed, PBE+U.

Summary:
D(E_F)	10.02	states/eV per cell
crystal system	orthorhombic
total moment	0.27	μB/atom
total DFT energy (no corrections)	-7.556	eV per atom

Lattice parameters (Å, degrees): 6.546 6.546 7.647 90.00 90.00 110.00
Sites, in units of the cell vectors:
1 Pm 0.005 0.005 0.000
2 Pm 0.037 0.496 0.251
3 Pm 0.496 0.037 0.749
4 Pm 0.504 0.963 0.249
5 Pm 0.963 0.504 0.751
6 Pm 0.995 0.995 0.500
7 Fe 0.500 0.500 0.000
8 Fe 0.500 0.500 0.500
9 O 0.129 0.871 0.750
10 O 0.133 0.867 0.250
11 O 0.187 0.428 0.975
12 O 0.190 0.431 0.526
13 O 0.428 0.187 0.025
14 O 0.431 0.190 0.474
15 O 0.433 0.567 0.250
16 O 0.567 0.433 0.750
17 O 0.569 0.810 0.974
18 O 0.572 0.813 0.525
19 O 0.810 0.569 0.026
20 O 0.813 0.572 0.475
21 O 0.867 0.133 0.750
22 O 0.871 0.129 0.250

***

> Look up the total moment of the second one.

0.27 μB/atom

***

What did the first record say?
Pm3FeO6: relaxed, PBE+U.

Summary:
D(E_F)	0.00	states/eV per cell
crystal system	orthorhombic
total moment	0.50	μB/atom
total DFT energy (no corrections)	-7.922	eV per atom

Lattice parameters (Å, degrees): 7.372 7.372 5.626 90.00 90.00 102.83
Sites, in units of the cell vectors:
1 Pm 0.103 0.897 0.500
2 Pm 0.201 0.413 0.456
3 Pm 0.413 0.201 0.956
4 Pm 0.587 0.799 0.456
5 Pm 0.799 0.587 0.956
6 Pm 0.897 0.103 0.000
7 Fe 0.308 0.692 0.924
8 Fe 0.692 0.308 0.424
9 O 0.082 0.606 0.750
10 O 0.146 0.174 0.726
11 O 0.174 0.146 0.226
12 O 0.285 0.715 0.260
13 O 0.394 0.918 0.750
14 O 0.460 0.540 0.781
15 O 0.540 0.460 0.281
16 O 0.606 0.082 0.250
17 O 0.715 0.285 0.760
18 O 0.826 0.854 0.726
19 O 0.854 0.826 0.226
20 O 0.918 0.394 0.250

***

> total DFT energy (no corrections) of number 2 (Pm3FeO7)?

-7.556 eV per atom